{
  "formula": "MnReB",
  "functional": "GGA-PBE",
  "state": "relaxed",
  "magnetic_moment_mub_per_cell": 2.664,
  "delta_e_f_ev_per_atom": -0.247,
  "crystal_system": "orthorhombic",
  "dft_energy_ev_per_atom": -9.679,
  "n_ef_per_ev_cell": 10.05,
  "cell": [[4.393, 0.000, 0.000], [2.197, 3.823, 0.000], [2.197, 0.000, 7.525]],
  "species": ["B", "B", "Re", "Re", "B", "B", "Mn", "Mn", "Re", "Mn", "Re", "Mn"],
  "frac_coords": [[0.875, 0.000, 0.250], [0.625, 0.500, 0.750], [0.831, 0.337, 0.000], [0.581, 0.837, 0.500], [0.875, 0.500, 0.250], [0.125, 0.000, 0.750], [0.334, 0.500, 0.331], [0.584, 0.000, 0.831], [0.169, 0.663, 0.000], [0.416, 0.000, 0.169], [0.919, 0.163, 0.500], [0.166, 0.500, 0.669]]
}



{
  "formula": "MnRe3B2",
  "functional": "GGA-PBE",
  "state": "relaxed",
  "magnetic_moment_mub_per_cell": 0.817,
  "delta_e_f_ev_per_atom": -0.224,
  "crystal_system": "orthorhombic",
  "dft_energy_ev_per_atom": -10.203,
  "n_ef_per_ev_cell": 6.80,
  "cell": [[-8.298, -0.046, -2.327], [-7.322, -3.172, 0.734], [-2.177, 3.726, 1.210]],
  "species": ["B", "Re", "Re", "Re", "Re", "Mn", "Re", "B", "Re", "Mn", "B", "B"],
  "frac_coords": [[0.377, 0.377, 0.123], [0.419, 0.081, 0.419], [0.081, 0.419, 0.081], [0.665, 0.665, 0.835], [0.169, 0.831, 0.169], [0.582, 0.582, 0.418], [0.831, 0.169, 0.831], [0.877, 0.877, 0.123], [0.835, 0.835, 0.665], [0.418, 0.418, 0.582], [0.123, 0.123, 0.377], [0.123, 0.123, 0.877]]
}



{
  "formula": "MnRe2B2",
  "functional": "GGA-PBE",
  "state": "relaxed",
  "magnetic_moment_mub_per_cell": 3.152,
  "delta_e_f_ev_per_atom": -0.232,
  "crystal_system": "tetragonal",
  "e_above_lowest_polymorph_kj_per_mol_atoms": 0.0,
  "dft_energy_ev_per_atom": -9.716,
  "n_ef_per_ev_cell": 4.47,
  "cell": [[-0.006, -4.032, -3.785], [5.243, -1.208, 1.278], [-1.072, -2.187, 2.331]],
  "species": ["B", "B", "Re", "Re", "Re", "B", "B", "Mn", "Mn", "Re"],
  "frac_coords": [[0.382, 0.882, 0.000], [0.882, 0.618, 0.000], [0.676, 0.824, 0.500], [0.324, 0.176, 0.500], [0.176, 0.676, 0.500], [0.118, 0.382, 0.000], [0.618, 0.118, 0.000], [0.000, 0.000, 0.000], [0.500, 0.500, 0.000], [0.824, 0.324, 0.500]]
}



{
  "formula": "MnRe2B2",
  "functional": "GGA-PBE",
  "state": "relaxed",
  "magnetic_moment_mub_per_cell": 5.091,
  "delta_e_f_ev_per_atom": 0.391,
  "crystal_system": "tetragonal",
  "e_above_lowest_polymorph_kj_per_mol_atoms": 60.2,
  "dft_energy_ev_per_atom": -9.093,
  "n_ef_per_ev_cell": 6.39,
  "cell": [[6.489, 0.000, 0.000], [0.000, 6.489, 0.000], [0.000, 0.000, 2.736]],
  "species": ["Re", "Re", "Mn", "B", "B", "Re", "Mn", "Re", "B", "B"],
  "frac_coords": [[0.360, 0.860, 0.000], [0.640, 0.140, 0.000], [0.000, 0.000, 0.000], [0.154, 0.654, 0.500], [0.846, 0.346, 0.500], [0.140, 0.360, 0.000], [0.500, 0.500, 0.000], [0.860, 0.640, 0.000], [0.654, 0.846, 0.500], [0.346, 0.154, 0.500]]
}



{
  "formula": "Mn3ReB",
  "functional": "GGA-PBE",
  "state": "relaxed",
  "magnetic_moment_mub_per_cell": 8.307,
  "delta_e_f_ev_per_atom": 2.085,
  "crystal_system": "cubic",
  "e_above_lowest_polymorph_kj_per_mol_atoms": 190.8,
  "dft_energy_ev_per_atom": -7.242,
  "n_ef_per_ev_cell": 7.06,
  "cell": [[4.581, 0.000, 0.000], [0.000, 4.581, 0.000], [0.000, 0.000, 4.581]],
  "species": ["Mn", "Re", "Mn", "B", "Mn"],
  "frac_coords": [[0.000, 0.000, 0.500], [0.000, 0.000, 0.000], [0.500, 0.000, 0.000], [0.500, 0.500, 0.500], [0.000, 0.500, 0.000]]
}



{
  "formula": "Mn3ReB",
  "functional": "GGA-PBE",
  "state": "relaxed",
  "magnetic_moment_mub_per_cell": 0.000,
  "delta_e_f_ev_per_atom": 0.108,
  "crystal_system": "cubic",
  "e_above_lowest_polymorph_kj_per_mol_atoms": 0.0,
  "dft_energy_ev_per_atom": -9.219,
  "n_ef_per_ev_cell": 3.88,
  "cell": [[-2.327, -2.728, -1.247], [-0.595, -1.127, 3.577], [-2.940, 2.388, 0.263]],
  "species": ["Mn", "B", "Re", "Mn", "Mn"],
  "frac_coords": [[0.500, 0.000, 0.000], [0.000, 0.000, 0.000], [0.500, 0.500, 0.500], [0.000, 0.000, 0.500], [0.000, 0.500, 0.000]]
}



{
  "formula": "Mn2ReB",
  "functional": "GGA-PBE",
  "state": "relaxed",
  "magnetic_moment_mub_per_cell": 0.709,
  "delta_e_f_ev_per_atom": 0.068,
  "crystal_system": "orthorhombic",
  "dft_energy_ev_per_atom": -9.298,
  "n_ef_per_ev_cell": 4.18,
  "cell": [[-1.612, 0.946, -2.078], [-3.410, -0.258, 2.527], [2.284, 3.621, -0.124]],
  "species": ["Mn", "Re", "B", "Mn"],
  "frac_coords": [[0.000, 0.181, 0.361], [0.500, 0.500, 0.000], [0.500, 0.000, 0.000], [0.000, 0.819, 0.639]]
}



{
  "formula": "Mn2ReB",
  "functional": "GGA-PBE",
  "state": "relaxed",
  "magnetic_moment_mub_per_cell": 3.740,
  "delta_e_f_ev_per_atom": 0.259,
  "crystal_system": "tetragonal",
  "dft_energy_ev_per_atom": -9.107,
  "n_ef_per_ev_cell": 6.54,
  "cell": [[-3.262, 0.045, -5.584], [5.460, -1.329, -3.201], [0.704, -2.781, -4.179]],
  "species": ["Mn", "Re", "Re", "Mn", "B", "B", "Mn", "Mn"],
  "frac_coords": [[0.220, 0.625, 0.250], [0.000, 0.000, 0.000], [0.750, 0.250, 0.500], [0.875, 0.780, 0.750], [0.500, 0.500, 0.000], [0.250, 0.750, 0.500], [0.530, 0.125, 0.250], [0.375, 0.470, 0.750]]
}